Record 1
LiMoBr | GGA-PBE | optimized geometry

a = 3.1152 Å, b = 3.1152 Å, c = 6.4560 Å
α = 90.00°, β = 90.00°, γ = 120.00°
With the nearest neighbours (Å) after each atom.
Fractional coordinates of all 3 atoms:
Li (0.0000, 0.0000, 0.0000)  3 Mo 2.89, 3 Br 2.89, 6 Li 3.12
Mo (0.3333, 0.6667, 0.3503)  3 Br 2.64, 3 Li 2.89
Br (0.6667, 0.3333, 0.6487)  3 Mo 2.64, 3 Li 2.89

## Properties
- energy above the lowest structure with this stoichiometry (eV/atom) = 0.000
- ΔE_f (raw) (meV/atom) = 321.4
- DFT total energy (eV/atom) = -4.4846
- space group = P3m1, No. 156

Record 2
YTaSb2 | GGA-PBE | optimized geometry

a = 3.9706 Å, b = 3.9706 Å, c = 6.1375 Å
α = 90.00°, β = 90.00°, γ = 90.00°
With the nearest neighbours (Å) after each atom.
Fractional coordinates of all 4 atoms:
Y (0.0000, 0.0000, 0.0000)  6 Sb 2.97-3.17
Ta (0.5000, 0.5000, 0.6771)  6 Sb 2.98-3.10
Sb (0.0000, 0.0000, 0.5162)  2 Y 2.97-3.17, 4 Ta 2.98
Sb (0.5000, 0.5000, 0.1726)  4 Y 3.00, 2 Ta 3.04-3.10

## Properties
- energy above the lowest structure with this stoichiometry (eV/atom) = 0.082
- ΔE_f (raw) (meV/atom) = -236.0
- DFT total energy (eV/atom) = -6.8763
- space group = P4mm, No. 99

Record 3
Ni2HgMo | GGA-PBE | optimized geometry

a = 4.7771 Å, b = 4.7771 Å, c = 4.7771 Å
α = 132.53°, β = 132.53°, γ = 69.40°
With the nearest neighbours (Å) after each atom.
Fractional coordinates of all 4 atoms:
Ni (0.0000, 0.0000, 0.0000)  4 Mo 2.72, 4 Ni 2.75, 4 Hg 2.75
Ni (0.7500, 0.2500, 0.5000)  4 Hg 2.72, 4 Mo 2.75, 4 Ni 2.75
Hg (0.2500, 0.7500, 0.5000)  8 Ni 2.72-2.75, 4 Mo 2.75
Mo (0.5000, 0.5000, 0.0000)  8 Ni 2.72-2.75, 4 Hg 2.75

## Properties
- formation energy from the elements (eV per atom) = 0.427
- DFT total energy (eV/atom) = -5.2471
- space group = I-4m2, No. 119

Record 4
SrLi2NiH | GGA-PBE | optimized geometry

a = 4.1011 Å, b = 4.1011 Å, c = 5.0452 Å
α = 90.00°, β = 90.00°, γ = 90.00°
With the nearest neighbours (Å) after each atom.
Fractional coordinates of all 5 atoms:
Sr (0.0000, 0.0000, 0.0000)  2 H 2.52
Li (0.0000, 0.5000, 0.5000)  2 H 2.05
Li (0.5000, 0.0000, 0.5000)  2 H 2.05
Ni (0.5000, 0.5000, 0.0000)  4 Sr 2.90
H (0.0000, 0.0000, 0.5000)  4 Li 2.05

## Properties
- DFT total energy (eV/atom) = -2.9374
- space group = P4/mmm, No. 123

Record 5
KSeIO6 | GGA-PBE | optimized geometry

a = 5.1548 Å, b = 5.6874 Å, c = 5.8820 Å
α = 89.31°, β = 88.42°, γ = 63.26°
With the nearest neighbours (Å) after each atom.
Fractional coordinates of all 9 atoms:
K (0.0000, 0.0000, 0.0000)  6 O 2.76-2.89
Se (0.3180, 0.3643, 0.4992)  4 O 1.84-2.00
I (0.6636, 0.6739, 0.5000)  6 O 1.83-2.04
O (0.0336, 0.6036, 0.3185)  1 Se 1.84, 1 I 2.04
O (0.3616, 0.6051, 0.6799)  1 Se 1.84, 1 I 2.04
O (0.4473, 0.9183, 0.2902)  1 I 1.83
O (0.6319, 0.3979, 0.3232)  1 I 1.96, 1 Se 1.98
O (0.6361, 0.9203, 0.7080)  1 I 1.83
O (0.9661, 0.3994, 0.6767)  1 I 1.95, 1 Se 2.00

## Properties
- ΔE_f (raw) (meV/atom) = -650.4
- DFT total energy (eV/atom) = -4.6372
- space group = P1, No. 1

Record 6
La4Cu2I5 | GGA-PBE | optimized geometry

a = 10.6926 Å, b = 10.6926 Å, c = 9.2825 Å
α = 100.16°, β = 100.16°, γ = 22.88°
With the nearest neighbours (Å) after each atom.
Fractional coordinates of all 11 atoms:
La (0.0048, 0.0048, 0.2149)  4 Cu 3.02-3.20, 1 I 3.34
La (0.3190, 0.3190, 0.9185)  1 Cu 2.63
La (0.6810, 0.6810, 0.0815)  1 Cu 2.63
La (0.9952, 0.9952, 0.7851)  4 Cu 3.02-3.20, 1 I 3.34
Cu (0.4460, 0.4460, 0.9988)  1 Cu 2.26
Cu (0.5540, 0.5540, 0.0012)  1 Cu 2.26
I (0.1629, 0.1629, 0.8035)  4 La 3.25-3.49
I (0.1643, 0.1643, 0.3408)  3 La 3.27-3.34
I (0.5000, 0.5000, 0.5000)  4 La 3.41
I (0.8357, 0.8357, 0.6592)  3 La 3.27-3.34
I (0.8371, 0.8371, 0.1965)  4 La 3.25-3.49

## Properties
- ΔE_f (raw) (meV/atom) = -896.9
- DFT total energy (eV/atom) = -4.1380
- space group = C2/m, No. 12

Record 7
AlInIO2 | GGA-PBE | optimized geometry

a = 4.1690 Å, b = 4.1690 Å, c = 5.7945 Å
α = 90.00°, β = 90.00°, γ = 90.00°
With the nearest neighbours (Å) after each atom.
Fractional coordinates of all 5 atoms:
Al (0.0000, 0.0000, 0.0000)  4 I 2.95
In (0.5000, 0.5000, 0.5000)  4 O 2.08
I (0.5000, 0.5000, 0.0000)  2 In 2.90, 4 Al 2.95
O (0.0000, 0.5000, 0.5000)  2 In 2.08
O (0.5000, 0.0000, 0.5000)  2 In 2.08

## Properties
- energy above the lowest structure with this stoichiometry (eV/atom) = 0.568
- ΔE_f (raw) (meV/atom) = -188.6
- DFT total energy (eV/atom) = -3.7781
- space group = P4/mmm, No. 123

Record 8
Mg2Zn3Ag2 | GGA-PBE | optimized geometry

a = 6.9416 Å, b = 6.9416 Å, c = 6.9416 Å
α = 109.47°, β = 109.47°, γ = 109.47°
With the nearest neighbours (Å) after each atom.
Fractional coordinates of all 14 atoms:
Mg (0.0000, 0.8392, 0.5000)  1 Ag 2.66, 3 Zn 2.76
Mg (0.5000, 0.0000, 0.8392)  1 Ag 2.66, 3 Zn 2.76
Mg (0.6608, 0.6608, 0.6608)  1 Ag 2.66, 3 Zn 2.76
Mg (0.8392, 0.5000, 0.0000)  1 Ag 2.66, 3 Zn 2.76
Zn (0.2261, 0.7500, 0.9761)  4 Ag 2.73, 2 Mg 2.76, 4 Zn 2.98
Zn (0.2500, 0.5239, 0.2739)  4 Ag 2.73, 2 Mg 2.76, 4 Zn 2.98
Zn (0.2739, 0.2500, 0.5239)  4 Ag 2.73, 2 Mg 2.76, 4 Zn 2.98
Zn (0.5239, 0.2739, 0.2500)  4 Ag 2.73, 2 Mg 2.76, 4 Zn 2.98
Zn (0.7500, 0.9761, 0.2261)  4 Ag 2.73, 2 Mg 2.76, 4 Zn 2.98
Zn (0.9761, 0.2261, 0.7500)  4 Ag 2.73, 2 Mg 2.76, 4 Zn 2.98
Ag (0.0000, 0.4566, 0.5000)  1 Mg 2.66, 6 Zn 2.73
Ag (0.0434, 0.0434, 0.0434)  1 Mg 2.66, 6 Zn 2.73
Ag (0.4566, 0.5000, 0.0000)  1 Mg 2.66, 6 Zn 2.73
Ag (0.5000, 0.0000, 0.4566)  1 Mg 2.66, 6 Zn 2.73

## Properties
- energy above the lowest structure with this stoichiometry (eV/atom) = 0.184
- formation energy from the elements (eV per atom) = 0.069
- DFT total energy (eV/atom) = -1.7474
- space group = I2_13, No. 199

Record 9
Cs2Tl2HgCl6 | GGA-PBE | optimized geometry

a = 8.1084 Å, b = 8.1084 Å, c = 7.6969 Å
α = 99.42°, β = 99.42°, γ = 116.20°
With the nearest neighbours (Å) after each atom.
Fractional coordinates of all 11 atoms:
Cs (0.1553, 0.8447, 0.0000)  6 Cl 3.44-3.50
Cs (0.8447, 0.1553, 0.0000)  6 Cl 3.44-3.50
Tl (0.3403, 0.6597, 0.5000)  4 Cl 3.02-3.18
Tl (0.6597, 0.3403, 0.5000)  4 Cl 3.02-3.18
Hg (0.5000, 0.5000, 0.0000)  6 Cl 2.69-2.93
Cl (0.1704, 0.4449, 0.7911)  1 Hg 2.69
Cl (0.3088, 0.3088, 0.2570)  1 Hg 2.93, 2 Tl 3.02
Cl (0.4449, 0.1704, 0.7911)  1 Hg 2.69
Cl (0.5551, 0.8296, 0.2089)  1 Hg 2.69
Cl (0.6912, 0.6912, 0.7430)  1 Hg 2.93, 2 Tl 3.02
Cl (0.8296, 0.5551, 0.2089)  1 Hg 2.69

## Properties
- ΔE_f (raw) (meV/atom) = -1229.2
- DFT total energy (eV/atom) = -2.8493
- space group = C2/m, No. 12

Record 10
Al4Cu2Ag5 | GGA-PBE | optimized geometry

a = 9.7964 Å, b = 9.7964 Å, c = 9.7964 Å
α = 163.09°, β = 136.83°, γ = 46.68°
With the nearest neighbours (Å) after each atom.
Fractional coordinates of all 11 atoms:
Al (0.1915, 0.5000, 0.6915)  4 Cu 2.56, 4 Ag 2.65-2.79, 1 Al 2.76
Al (0.2272, 0.2272, 0.0000)  1 Cu 2.49, 2 Ag 2.67
Al (0.7728, 0.7728, 0.0000)  1 Cu 2.49, 2 Ag 2.67
Al (0.8085, 0.5000, 0.3085)  4 Cu 2.56, 4 Ag 2.65-2.79, 1 Al 2.76
Cu (0.0888, 0.0888, 0.0000)  5 Al 2.49-2.56, 4 Ag 2.78
Cu (0.9112, 0.9112, 0.0000)  5 Al 2.49-2.56, 4 Ag 2.78
Ag (0.1443, 0.3505, 0.7938)  4 Al 2.67-2.92, 2 Cu 2.78, 3 Ag 2.88-2.97
Ag (0.4433, 0.6495, 0.7938)  4 Al 2.67-2.92, 2 Cu 2.78, 3 Ag 2.88-2.97
Ag (0.5000, 0.0000, 0.5000)  4 Al 2.65, 2 Ag 2.88
Ag (0.5567, 0.3505, 0.2062)  4 Al 2.67-2.92, 2 Cu 2.78, 3 Ag 2.88-2.97
Ag (0.8557, 0.6495, 0.2062)  4 Al 2.67-2.92, 2 Cu 2.78, 3 Ag 2.88-2.97

## Properties
- formation energy from the elements (eV per atom) = 0.024
- DFT total energy (eV/atom) = -3.3773
- space group = Immm, No. 71

Record 11
AlBP2O | GGA-PBE | optimized geometry

a = 4.8824 Å, b = 4.8824 Å, c = 2.7275 Å
α = 90.00°, β = 90.00°, γ = 90.00°
With the nearest neighbours (Å) after each atom.
Fractional coordinates of all 5 atoms:
Al (0.0000, 0.0000, 0.0000)  2 Al 2.73, 8 P 2.80
B (0.5000, 0.5000, 0.5000)  2 O 1.36
P (0.0000, 0.5000, 0.5000)  2 B 2.44, 2 P 2.73
P (0.5000, 0.0000, 0.5000)  2 B 2.44, 2 P 2.73
O (0.5000, 0.5000, 0.0000)  2 B 1.36

## Properties
- energy above the lowest structure with this stoichiometry (eV/atom) = 0.000
- ΔE_f (raw) (meV/atom) = 33.9
- DFT total energy (eV/atom) = -5.2057
- space group = P4/mmm, No. 123

Record 12
SrPmAu2 | GGA-PBE | optimized geometry

a = 8.0603 Å, b = 8.0603 Å, c = 8.0603 Å
α = 30.79°, β = 30.79°, γ = 30.79°
With the nearest neighbours (Å) after each atom.
Fractional coordinates of all 4 atoms:
Sr (0.0000, 0.0000, 0.0000)  6 Au 3.20-3.26
Pm (0.1706, 0.1706, 0.1706)  6 Au 3.01-3.05
Au (0.5783, 0.5783, 0.5783)  3 Pm 3.01, 3 Sr 3.20
Au (0.7593, 0.7593, 0.7593)  3 Pm 3.05, 3 Sr 3.26

## Properties
- energy above the lowest structure with this stoichiometry (eV/atom) = 0.100
- formation energy from the elements (eV per atom) = -0.674
- DFT total energy (eV/atom) = -3.9203
- space group = R3m, No. 160